{
  "formula": "CaScB",
  "functional": "PBE-GGA",
  "state": "optimized geometry",
  "lattice_angstrom": [[-3.186, 0.689, -1.085], [-1.231, -4.771, -4.855], [-1.980, -6.250, 1.860]],
  "species": ["B", "Sc", "Sc", "B", "Ca", "Ca"],
  "fractional_positions": [[0.096, 0.926, 0.672], [0.524, 0.071, 0.826], [0.523, 0.071, 0.374], [0.952, 0.215, 0.527], [0.264, 0.591, 0.340], [0.784, 0.551, 0.860]],
  "m_tot_mub_per_cell": 0.0,
  "delta_e_f_ev_per_atom": -0.05
}